Computed, not measured: a geometry-optimized KAcCoO4 structure at the GGA+U level of DFT.

Geometry as extended XYZ:
```
14
Lattice="6.300 0.000 0.000 0.000 5.794 0.000 -0.530 0.000 7.831" Properties=species:S:1:pos:R:3 pbc="T T T"
K 0.620 1.449 2.940
K 5.150 4.346 4.892
Ac 1.302 1.449 7.250
Ac 4.468 4.346 0.581
Co 1.299 4.346 1.273
Co 4.471 1.449 6.559
O -0.095 4.346 2.405
O 0.048 4.346 7.448
O 2.433 2.946 1.351
O 2.433 5.746 1.351
O 3.338 0.049 6.480
O 3.338 2.848 6.480
O 5.723 1.449 0.383
O 5.865 1.449 5.426
```

## Properties
Total magnetization (μB/cell): 10.00
Total DFT energy (no corrections) (eV/cell): -86.797